Computed, not measured: TbEr4Ga15 after structural relaxation at the GGA-PBE level of DFT.

## Properties
magnetization	0.00	μB per cell
total DFT energy (no corrections)	-3.944	eV/atom
energy relative to the elements	-0.530	eV per atom

Lattice parameters (Å, degrees): 4.263 4.263 21.224 90.00 90.00 90.00
Atoms (fractional coordinates):
Tb: 0.000 0.000 0.000
Er: 0.000 0.000 0.201
Er: 0.000 0.000 0.400
Er: 0.000 0.000 0.600
Er: 0.000 0.000 0.799
Ga: 0.000 0.500 0.101
Ga: 0.000 0.500 0.301
Ga: 0.000 0.500 0.500
Ga: 0.000 0.500 0.699
Ga: 0.000 0.500 0.899
Ga: 0.500 0.000 0.101
Ga: 0.500 0.000 0.301
Ga: 0.500 0.000 0.500
Ga: 0.500 0.000 0.699
Ga: 0.500 0.000 0.899
Ga: 0.500 0.500 0.000
Ga: 0.500 0.500 0.200
Ga: 0.500 0.500 0.400
Ga: 0.500 0.500 0.600
Ga: 0.500 0.500 0.800

---

Computed, not measured: TbErGa after structural relaxation at the GGA-PBE level of DFT.

## Properties
magnetization	0.00	μB per cell
offset from the most stable computed form	0.02	eV/f.u.
total DFT energy (no corrections)	-4.468	eV/atom
energy relative to the elements	-0.395	eV per atom

Lattice parameters (Å, degrees): 8.367 8.367 5.156 90.08 90.08 25.21
Atoms (fractional coordinates):
Tb: 0.077 0.077 0.249
Tb: 0.923 0.923 0.751
Er: 0.223 0.223 0.750
Er: 0.777 0.777 0.250
Ga: 0.422 0.422 0.252
Ga: 0.578 0.578 0.748

---

Computed, not measured: Tb2Er3Ga4 after structural relaxation at the GGA-PBE level of DFT.

## Properties
magnetization	0.00	μB per cell
offset from the most stable computed form	0.00	eV/f.u.
total DFT energy (no corrections)	-4.478	eV/atom
energy relative to the elements	-0.583	eV per atom

Lattice parameters (Å, degrees): 7.888 7.928 7.382 90.00 106.55 90.00
Atoms (fractional coordinates):
Tb: 0.190 0.184 0.073
Tb: 0.190 0.316 0.573
Tb: 0.810 0.684 0.427
Tb: 0.810 0.816 0.927
Er: 0.239 0.675 0.251
Er: 0.239 0.825 0.751
Er: 0.500 0.000 0.500
Er: 0.500 0.500 0.000
Er: 0.761 0.175 0.249
Er: 0.761 0.325 0.749
Ga: 0.081 0.529 0.863
Ga: 0.081 0.971 0.363
Ga: 0.489 0.124 0.878
Ga: 0.489 0.376 0.378
Ga: 0.511 0.624 0.622
Ga: 0.511 0.876 0.122
Ga: 0.919 0.029 0.637
Ga: 0.919 0.471 0.137

---

Computed, not measured: TbEr3Ga2 after structural relaxation at the GGA-PBE level of DFT.

## Properties
magnetization	0.02	μB per cell
offset from the most stable computed form	0.60	eV/f.u.
total DFT energy (no corrections)	-4.393	eV/atom
energy relative to the elements	-0.331	eV per atom

Lattice parameters (Å, degrees): 8.321 8.321 8.810 116.51 116.51 35.24
Atoms (fractional coordinates):
Tb: 0.130 0.130 0.189
Tb: 0.870 0.870 0.811
Er: 0.062 0.062 0.717
Er: 0.313 0.313 0.009
Er: 0.379 0.379 0.487
Er: 0.621 0.621 0.513
Er: 0.687 0.687 0.991
Er: 0.938 0.938 0.283
Ga: 0.227 0.227 0.614
Ga: 0.484 0.484 0.848
Ga: 0.516 0.516 0.152
Ga: 0.773 0.773 0.386

---

Computed, not measured: Tb2ErGa6 after structural relaxation at the GGA-PBE level of DFT.

## Properties
magnetization	0.00	μB per cell
offset from the most stable computed form	0.00	eV/f.u.
total DFT energy (no corrections)	-4.187	eV/atom
energy relative to the elements	-0.633	eV per atom

Lattice parameters (Å, degrees): 7.463 7.463 3.839 90.00 90.00 120.00
Atoms (fractional coordinates):
Tb: 0.333 0.667 0.000
Tb: 0.667 0.333 0.000
Er: 0.000 0.000 0.000
Ga: 0.000 0.333 0.500
Ga: 0.000 0.667 0.500
Ga: 0.333 0.000 0.500
Ga: 0.333 0.333 0.500
Ga: 0.667 0.000 0.500
Ga: 0.667 0.667 0.500

---

Computed, not measured: Tb3ErGa4 after structural relaxation at the GGA-PBE level of DFT.

## Properties
magnetization	0.00	μB per cell
offset from the most stable computed form	0.00	eV/f.u.
total DFT energy (no corrections)	-4.401	eV/atom
energy relative to the elements	-0.581	eV per atom

Lattice parameters (Å, degrees): 8.772 8.772 8.772 33.45 33.45 33.45
Atoms (fractional coordinates):
Tb: 0.000 0.000 0.000
Tb: 0.250 0.250 0.250
Tb: 0.750 0.750 0.750
Er: 0.500 0.500 0.500
Ga: 0.126 0.126 0.126
Ga: 0.375 0.375 0.375
Ga: 0.625 0.625 0.625
Ga: 0.874 0.874 0.874

---

Computed, not measured: TbErGa after structural relaxation at the GGA-PBE level of DFT.

## Properties
magnetization	1.01	μB per cell
offset from the most stable computed form	0.00	eV/f.u.
total DFT energy (no corrections)	-4.476	eV/atom
energy relative to the elements	-0.403	eV per atom

Lattice parameters (Å, degrees): 7.914 4.466 13.352 90.00 90.97 90.00
Atoms (fractional coordinates):
Tb: 0.029 0.250 0.114
Tb: 0.145 0.250 0.416
Tb: 0.470 0.750 0.783
Tb: 0.530 0.250 0.217
Tb: 0.855 0.750 0.584
Tb: 0.971 0.750 0.886
Er: 0.127 0.250 0.710
Er: 0.357 0.750 0.047
Er: 0.481 0.750 0.409
Er: 0.519 0.250 0.591
Er: 0.643 0.250 0.953
Er: 0.873 0.750 0.290
Ga: 0.229 0.750 0.249
Ga: 0.246 0.750 0.580
Ga: 0.260 0.250 0.917
Ga: 0.740 0.750 0.083
Ga: 0.754 0.250 0.420
Ga: 0.771 0.250 0.751

---

Computed, not measured: TbErGa4 after structural relaxation at the GGA-PBE level of DFT.

## Properties
magnetization	0.00	μB per cell
offset from the most stable computed form	0.00	eV/f.u.
total DFT energy (no corrections)	-4.185	eV/atom
energy relative to the elements	-0.634	eV per atom

Lattice parameters (Å, degrees): 4.212 4.212 8.159 90.00 90.00 120.00
Atoms (fractional coordinates):
Tb: 0.000 0.000 0.000
Er: 0.000 0.000 0.500
Ga: 0.333 0.667 0.253
Ga: 0.333 0.667 0.747
Ga: 0.667 0.333 0.253
Ga: 0.667 0.333 0.747

---

Computed, not measured: TbEr2Ga2 after structural relaxation at the GGA-PBE level of DFT.

## Properties
magnetization	0.00	μB per cell
offset from the most stable computed form	0.00	eV/f.u.
total DFT energy (no corrections)	-4.464	eV/atom
energy relative to the elements	-0.502	eV per atom

Lattice parameters (Å, degrees): 7.635 7.635 4.278 90.00 90.00 90.00
Atoms (fractional coordinates):
Tb: 0.000 0.000 0.000
Tb: 0.500 0.500 0.000
Er: 0.174 0.326 0.500
Er: 0.326 0.826 0.500
Er: 0.674 0.174 0.500
Er: 0.826 0.674 0.500
Ga: 0.120 0.620 0.000
Ga: 0.380 0.120 0.000
Ga: 0.620 0.880 0.000
Ga: 0.880 0.380 0.000

---

Computed, not measured: Tb6Er2Ga after structural relaxation at the GGA-PBE level of DFT.

## Properties
magnetization	0.00	μB per cell
total DFT energy (no corrections)	-4.417	eV/atom
energy relative to the elements	0.020	eV per atom

Lattice parameters (Å, degrees): 9.717 9.717 3.523 90.00 90.00 123.49
Atoms (fractional coordinates):
Tb: 0.010 0.334 0.000
Tb: 0.285 0.285 0.500
Tb: 0.334 0.010 0.000
Tb: 0.666 0.990 0.000
Tb: 0.715 0.715 0.500
Tb: 0.990 0.666 0.000
Er: 0.322 0.678 0.500
Er: 0.678 0.322 0.500
Ga: 0.000 0.000 0.000

---

Computed, not measured: TbEr2Ga6 after structural relaxation at the GGA-PBE level of DFT.

## Properties
magnetization	0.00	μB per cell
offset from the most stable computed form	1.37	eV/f.u.
total DFT energy (no corrections)	-4.015	eV/atom
energy relative to the elements	-0.469	eV per atom

Lattice parameters (Å, degrees): 7.790 7.790 7.790 148.07 126.93 63.29
Atoms (fractional coordinates):
Tb: 0.000 0.000 0.000
Er: 0.375 0.875 0.500
Er: 0.625 0.125 0.500
Ga: 0.008 0.315 0.694
Ga: 0.311 0.500 0.811
Ga: 0.379 0.685 0.694
Ga: 0.621 0.315 0.306
Ga: 0.689 0.500 0.189
Ga: 0.992 0.685 0.306

---

Computed, not measured: Tb3Er4Ga4 after structural relaxation at the GGA-PBE level of DFT.

## Properties
magnetization	0.00	μB per cell
total DFT energy (no corrections)	-4.392	eV/atom
energy relative to the elements	-0.369	eV per atom

Lattice parameters (Å, degrees): 9.353 9.353 9.353 149.31 137.23 53.56
Atoms (fractional coordinates):
Tb: 0.000 0.000 0.000
Tb: 0.401 0.901 0.500
Tb: 0.599 0.099 0.500
Er: 0.055 0.322 0.732
Er: 0.410 0.678 0.732
Er: 0.590 0.322 0.268
Er: 0.945 0.678 0.268
Ga: 0.178 0.178 0.000
Ga: 0.302 0.500 0.802
Ga: 0.698 0.500 0.198
Ga: 0.822 0.822 0.000

---

Computed, not measured: TbEr2Ga3 after structural relaxation at the GGA-PBE level of DFT.

## Properties
magnetization	0.00	μB per cell
total DFT energy (no corrections)	-4.385	eV/atom
energy relative to the elements	-0.579	eV per atom

Lattice parameters (Å, degrees): 5.023 5.023 12.336 90.00 90.00 120.00
Atoms (fractional coordinates):
Tb: 0.333 0.667 0.167
Tb: 0.667 0.333 0.833
Er: 0.000 0.000 0.000
Er: 0.000 0.000 0.500
Er: 0.333 0.667 0.665
Er: 0.667 0.333 0.335
Ga: 0.000 0.000 0.251
Ga: 0.000 0.000 0.749
Ga: 0.333 0.667 0.418
Ga: 0.333 0.667 0.916
Ga: 0.667 0.333 0.084
Ga: 0.667 0.333 0.582

---

Computed, not measured: Tb8ErGa6 after structural relaxation at the GGA-PBE level of DFT.

## Properties
magnetization	0.00	μB per cell
total DFT energy (no corrections)	-4.350	eV/atom
energy relative to the elements	-0.366	eV per atom

Lattice parameters (Å, degrees): 7.946 7.946 7.946 65.93 65.93 65.93
Atoms (fractional coordinates):
Tb: 0.055 0.721 0.388
Tb: 0.166 0.166 0.166
Tb: 0.279 0.612 0.945
Tb: 0.388 0.055 0.721
Tb: 0.612 0.945 0.279
Tb: 0.721 0.388 0.055
Tb: 0.834 0.834 0.834
Tb: 0.945 0.279 0.612
Er: 0.500 0.500 0.500
Ga: 0.110 0.442 0.773
Ga: 0.227 0.890 0.558
Ga: 0.442 0.773 0.110
Ga: 0.558 0.227 0.890
Ga: 0.773 0.110 0.442
Ga: 0.890 0.558 0.227

---

Computed, not measured: Tb3Er2Ga4 after structural relaxation at the GGA-PBE level of DFT.

## Properties
magnetization	0.00	μB per cell
total DFT energy (no corrections)	-4.368	eV/atom
energy relative to the elements	-0.466	eV per atom

Lattice parameters (Å, degrees): 5.779 5.779 9.553 90.52 90.52 45.06
Atoms (fractional coordinates):
Tb: 0.000 0.000 0.000
Tb: 0.376 0.376 0.390
Tb: 0.624 0.624 0.610
Er: 0.324 0.324 0.770
Er: 0.676 0.676 0.230
Ga: 0.079 0.079 0.394
Ga: 0.307 0.307 0.076
Ga: 0.693 0.693 0.924
Ga: 0.921 0.921 0.606

---

Computed, not measured: Tb2ErGa after structural relaxation at the GGA-PBE level of DFT.

## Properties
magnetization	0.01	μB per cell
offset from the most stable computed form	0.15	eV/f.u.
total DFT energy (no corrections)	-4.452	eV/atom
energy relative to the elements	-0.240	eV per atom

Lattice parameters (Å, degrees): 4.720 4.720 4.722 90.00 90.00 90.00
Atoms (fractional coordinates):
Tb: 0.000 0.500 0.000
Tb: 0.500 0.000 0.000
Er: 0.000 0.000 0.500
Ga: 0.500 0.500 0.500

---

Computed, not measured: TbEr3Ga4 after structural relaxation at the GGA-PBE level of DFT.

## Properties
magnetization	0.00	μB per cell
offset from the most stable computed form	0.95	eV/f.u.
total DFT energy (no corrections)	-4.262	eV/atom
energy relative to the elements	-0.458	eV per atom

Lattice parameters (Å, degrees): 9.078 9.078 9.078 157.53 136.48 49.52
Atoms (fractional coordinates):
Tb: 0.000 0.000 0.000
Er: 0.202 0.702 0.500
Er: 0.500 0.500 0.000
Er: 0.798 0.298 0.500
Ga: 0.178 0.870 0.308
Ga: 0.438 0.130 0.308
Ga: 0.562 0.870 0.692
Ga: 0.822 0.130 0.692

---

Computed, not measured: Tb3ErGa2 after structural relaxation at the GGA-PBE level of DFT.

## Properties
magnetization	0.00	μB per cell
offset from the most stable computed form	0.66	eV/f.u.
total DFT energy (no corrections)	-4.401	eV/atom
energy relative to the elements	-0.316	eV per atom

Lattice parameters (Å, degrees): 8.442 8.442 8.877 116.57 116.57 34.66
Atoms (fractional coordinates):
Tb: 0.061 0.061 0.217
Tb: 0.312 0.312 0.502
Tb: 0.376 0.376 0.988
Tb: 0.624 0.624 0.012
Tb: 0.688 0.688 0.498
Tb: 0.939 0.939 0.783
Er: 0.128 0.128 0.691
Er: 0.872 0.872 0.309
Ga: 0.229 0.229 0.115
Ga: 0.485 0.485 0.350
Ga: 0.515 0.515 0.650
Ga: 0.771 0.771 0.885

---

Computed, not measured: Tb8Er2Ga after structural relaxation at the GGA-PBE level of DFT.

## Properties
magnetization	0.00	μB per cell
total DFT energy (no corrections)	-4.497	eV/atom
energy relative to the elements	-0.025	eV per atom

Lattice parameters (Å, degrees): 9.727 9.727 7.366 112.20 112.20 32.28
Atoms (fractional coordinates):
Tb: 0.000 0.000 0.247
Tb: 0.000 0.000 0.753
Tb: 0.185 0.185 0.185
Tb: 0.368 0.368 0.128
Tb: 0.368 0.368 0.606
Tb: 0.632 0.632 0.394
Tb: 0.632 0.632 0.872
Tb: 0.815 0.815 0.815
Er: 0.192 0.192 0.693
Er: 0.808 0.808 0.307
Ga: 0.500 0.500 0.000

---

Computed, not measured: Tb5Er2Ga4 after structural relaxation at the GGA-PBE level of DFT.

## Properties
magnetization	0.00	μB per cell
total DFT energy (no corrections)	-4.067	eV/atom
energy relative to the elements	-0.032	eV per atom

Lattice parameters (Å, degrees): 9.584 9.584 9.584 157.64 98.16 86.18
Atoms (fractional coordinates):
Tb: 0.000 0.000 0.000
Tb: 0.170 0.352 0.818
Tb: 0.466 0.648 0.818
Tb: 0.534 0.352 0.182
Tb: 0.830 0.648 0.182
Er: 0.205 0.705 0.500
Er: 0.795 0.295 0.500
Ga: 0.166 0.500 0.666
Ga: 0.408 0.908 0.500
Ga: 0.592 0.092 0.500
Ga: 0.834 0.500 0.334